(1)
# TeIrAu (PBE, relaxed)
# * VASP energy: -4.92 eV per atom
# * Fermi-level density of states: 0.5 states/eV/f.u.
data_TeIrAu
_chemical_formula_sum 'Te1 Ir1 Au1'
_cell_length_a 3.7715
_cell_length_b 3.7715
_cell_length_c 5.5181
_cell_angle_alpha 90.00
_cell_angle_beta 90.00
_cell_angle_gamma 120.00
_space_group_name_H-M_alt 'P 1'
_space_group_IT_number 1
loop_
_space_group_symop_operation_xyz
'x,y,z'
loop_
_atom_site_label
_atom_site_type_symbol
_atom_site_fract_x
_atom_site_fract_y
_atom_site_fract_z
_atom_site_occupancy
Te1 Te 0.0000 0.0000 0.0000 1
Ir1 Ir 0.6667 0.3333 0.7493 1
Au1 Au 0.3333 0.6667 0.4544 1

(2)
# TeIrAu4 (PBE, relaxed)
# * VASP energy: -3.62 eV per atom
# * Fermi-level density of states: 4.9 states/eV/f.u.
data_TeIrAu4
_chemical_formula_sum 'Te1 Ir1 Au4'
_cell_length_a 5.4999
_cell_length_b 5.4999
_cell_length_c 5.4999
_cell_angle_alpha 60.00
_cell_angle_beta 60.00
_cell_angle_gamma 60.00
_space_group_name_H-M_alt 'P 1'
_space_group_IT_number 1
loop_
_space_group_symop_operation_xyz
'x,y,z'
loop_
_atom_site_label
_atom_site_type_symbol
_atom_site_fract_x
_atom_site_fract_y
_atom_site_fract_z
_atom_site_occupancy
Te1 Te 0.0000 0.0000 0.0000 1
Ir1 Ir 0.2500 0.2500 0.2500 1
Au1 Au 0.1262 0.6246 0.6246 1
Au2 Au 0.6246 0.1262 0.6246 1
Au3 Au 0.6246 0.6246 0.1262 1
Au4 Au 0.6246 0.6246 0.6246 1

(3)
# Y6Te3Ir2Au (PBE, relaxed)
# * VASP energy: -6.83 eV per atom
# * Fermi-level density of states: 6.0 states/eV/f.u.
data_Y6Te3Ir2Au
_chemical_formula_sum 'Y6 Te3 Ir2 Au1'
_cell_length_a 7.2434
_cell_length_b 7.2434
_cell_length_c 7.6635
_cell_angle_alpha 99.03
_cell_angle_beta 99.03
_cell_angle_gamma 119.90
_space_group_name_H-M_alt 'P 1'
_space_group_IT_number 1
loop_
_space_group_symop_operation_xyz
'x,y,z'
loop_
_atom_site_label
_atom_site_type_symbol
_atom_site_fract_x
_atom_site_fract_y
_atom_site_fract_z
_atom_site_occupancy
Y1 Y 0.0726 0.4284 0.7862 1
Y2 Y 0.2137 0.2137 0.2081 1
Y3 Y 0.4284 0.0726 0.7862 1
Y4 Y 0.5716 0.9274 0.2138 1
Y5 Y 0.7863 0.7863 0.7919 1
Y6 Y 0.9274 0.5716 0.2138 1
Te1 Te 0.0000 0.0000 0.5000 1
Te2 Te 0.3405 0.6595 0.5000 1
Te3 Te 0.6595 0.3405 0.5000 1
Ir1 Ir 0.1680 0.8320 0.0000 1
Ir2 Ir 0.8320 0.1680 0.0000 1
Au1 Au 0.5000 0.5000 0.0000 1

(4)
# Th2IrAu (PBE, relaxed)
# * E_form: -64 kJ/mol of atoms
# * Fermi-level density of states: 4.1 states/eV/f.u.
data_Th2IrAu
_chemical_formula_sum 'Th2 Ir1 Au1'
_cell_length_a 3.5999
_cell_length_b 3.5999
_cell_length_c 7.5290
_cell_angle_alpha 90.00
_cell_angle_beta 90.00
_cell_angle_gamma 90.00
_space_group_name_H-M_alt 'P 1'
_space_group_IT_number 1
loop_
_space_group_symop_operation_xyz
'x,y,z'
loop_
_atom_site_label
_atom_site_type_symbol
_atom_site_fract_x
_atom_site_fract_y
_atom_site_fract_z
_atom_site_occupancy
Th1 Th 0.0000 0.0000 0.2304 1
Th2 Th 0.0000 0.0000 0.7696 1
Ir1 Ir 0.5000 0.5000 0.0000 1
Au1 Au 0.5000 0.5000 0.5000 1

(5)
# Th7Ir2Au2 (PBE, relaxed)
# * E_form: -34 kJ/mol of atoms
# * Fermi-level density of states: 14.1 states/eV/f.u.
data_Th7Ir2Au2
_chemical_formula_sum 'Th7 Ir2 Au2'
_cell_length_a 6.8724
_cell_length_b 6.8724
_cell_length_c 7.0073
_cell_angle_alpha 90.00
_cell_angle_beta 90.00
_cell_angle_gamma 105.32
_space_group_name_H-M_alt 'P 1'
_space_group_IT_number 1
loop_
_space_group_symop_operation_xyz
'x,y,z'
loop_
_atom_site_label
_atom_site_type_symbol
_atom_site_fract_x
_atom_site_fract_y
_atom_site_fract_z
_atom_site_occupancy
Th1 Th 0.0000 0.0000 0.0000 1
Th2 Th 0.0000 0.5000 0.2695 1
Th3 Th 0.0000 0.5000 0.7305 1
Th4 Th 0.5000 0.0000 0.2695 1
Th5 Th 0.5000 0.0000 0.7305 1
Th6 Th 0.5000 0.5000 0.2704 1
Th7 Th 0.5000 0.5000 0.7296 1
Ir1 Ir 0.2804 0.7196 0.0000 1
Ir2 Ir 0.7196 0.2804 0.0000 1
Au1 Au 0.1675 0.1675 0.5000 1
Au2 Au 0.8325 0.8325 0.5000 1

(6)
# Th5Ir4Au (PBE, relaxed)
# * E_form: -89 kJ/mol of atoms
# * Fermi-level density of states: 4.2 states/eV/f.u.
data_Th5Ir4Au
_chemical_formula_sum 'Th5 Ir4 Au1'
_cell_length_a 11.1137
_cell_length_b 11.1137
_cell_length_c 11.1137
_cell_angle_alpha 158.53
_cell_angle_beta 149.27
_cell_angle_gamma 37.80
_space_group_name_H-M_alt 'P 1'
_space_group_IT_number 1
loop_
_space_group_symop_operation_xyz
'x,y,z'
loop_
_atom_site_label
_atom_site_type_symbol
_atom_site_fract_x
_atom_site_fract_y
_atom_site_fract_z
_atom_site_occupancy
Th1 Th 0.0000 0.0000 0.0000 1
Th2 Th 0.1963 0.1963 0.0000 1
Th3 Th 0.3890 0.3890 0.0000 1
Th4 Th 0.6110 0.6110 0.0000 1
Th5 Th 0.8037 0.8037 0.0000 1
Ir1 Ir 0.0974 0.5974 0.5000 1
Ir2 Ir 0.2963 0.7963 0.5000 1
Ir3 Ir 0.7037 0.2037 0.5000 1
Ir4 Ir 0.9026 0.4026 0.5000 1
Au1 Au 0.5000 0.0000 0.5000 1

(7)
# Th6IrAu2 (PBE, relaxed)
# * E_form: -41 kJ/mol of atoms
# * Fermi-level density of states: 11.7 states/eV/f.u.
data_Th6IrAu2
_chemical_formula_sum 'Th12 Ir2 Au4'
_cell_length_a 6.4172
_cell_length_b 7.8148
_cell_length_c 12.0587
_cell_angle_alpha 90.00
_cell_angle_beta 120.21
_cell_angle_gamma 90.00
_space_group_name_H-M_alt 'P 1'
_space_group_IT_number 1
loop_
_space_group_symop_operation_xyz
'x,y,z'
loop_
_atom_site_label
_atom_site_type_symbol
_atom_site_fract_x
_atom_site_fract_y
_atom_site_fract_z
_atom_site_occupancy
Th1 Th 0.0746 0.1954 0.4416 1
Th2 Th 0.0746 0.3046 0.9416 1
Th3 Th 0.3012 0.6615 0.4454 1
Th4 Th 0.3012 0.8385 0.9454 1
Th5 Th 0.3901 0.0344 0.2429 1
Th6 Th 0.3901 0.4656 0.7429 1
Th7 Th 0.6099 0.5344 0.2571 1
Th8 Th 0.6099 0.9656 0.7571 1
Th9 Th 0.6988 0.1615 0.0546 1
Th10 Th 0.6988 0.3385 0.5546 1
Th11 Th 0.9254 0.6954 0.0584 1
Th12 Th 0.9254 0.8046 0.5584 1
Ir1 Ir 0.5000 0.0000 0.5000 1
Ir2 Ir 0.5000 0.5000 0.0000 1
Au1 Au 0.1504 0.1191 0.7379 1
Au2 Au 0.1504 0.3809 0.2379 1
Au3 Au 0.8496 0.6191 0.7621 1
Au4 Au 0.8496 0.8809 0.2621 1

(8)
# Th4IrAu (PBE, relaxed)
# * E_form: -52 kJ/mol of atoms
# * Fermi-level density of states: 7.5 states/eV/f.u.
data_Th4IrAu
_chemical_formula_sum 'Th8 Ir2 Au2'
_cell_length_a 7.3585
_cell_length_b 7.3585
_cell_length_c 6.0151
_cell_angle_alpha 90.00
_cell_angle_beta 90.00
_cell_angle_gamma 90.00
_space_group_name_H-M_alt 'P 1'
_space_group_IT_number 1
loop_
_space_group_symop_operation_xyz
'x,y,z'
loop_
_atom_site_label
_atom_site_type_symbol
_atom_site_fract_x
_atom_site_fract_y
_atom_site_fract_z
_atom_site_occupancy
Th1 Th 0.1531 0.3285 0.0000 1
Th2 Th 0.1531 0.6715 0.5000 1
Th3 Th 0.3285 0.1531 0.5000 1
Th4 Th 0.3285 0.8469 0.0000 1
Th5 Th 0.6715 0.1531 0.0000 1
Th6 Th 0.6715 0.8469 0.5000 1
Th7 Th 0.8469 0.3285 0.5000 1
Th8 Th 0.8469 0.6715 0.0000 1
Ir1 Ir 0.0000 0.0000 0.2500 1
Ir2 Ir 0.0000 0.0000 0.7500 1
Au1 Au 0.5000 0.5000 0.2500 1
Au2 Au 0.5000 0.5000 0.7500 1

(9)
# Th2IrAu (PBE, relaxed)
# * E_form: -79 kJ/mol of atoms
# * Fermi-level density of states: 2.6 states/eV/f.u.
data_Th2IrAu
_chemical_formula_sum 'Th2 Ir1 Au1'
_cell_length_a 7.7284
_cell_length_b 7.7284
_cell_length_c 7.7284
_cell_angle_alpha 30.95
_cell_angle_beta 30.95
_cell_angle_gamma 30.95
_space_group_name_H-M_alt 'P 1'
_space_group_IT_number 1
loop_
_space_group_symop_operation_xyz
'x,y,z'
loop_
_atom_site_label
_atom_site_type_symbol
_atom_site_fract_x
_atom_site_fract_y
_atom_site_fract_z
_atom_site_occupancy
Th1 Th 0.2400 0.2400 0.2400 1
Th2 Th 0.7600 0.7600 0.7600 1
Ir1 Ir 0.5000 0.5000 0.5000 1
Au1 Au 0.0000 0.0000 0.0000 1

(10)
# Th3IrAu2 (PBE, relaxed)
# * E_form: -68 kJ/mol of atoms
# * Fermi-level density of states: 5.9 states/eV/f.u.
data_Th3IrAu2
_chemical_formula_sum 'Th6 Ir2 Au4'
_cell_length_a 7.0522
_cell_length_b 7.0522
_cell_length_c 7.5110
_cell_angle_alpha 97.92
_cell_angle_beta 97.92
_cell_angle_gamma 114.55
_space_group_name_H-M_alt 'P 1'
_space_group_IT_number 1
loop_
_space_group_symop_operation_xyz
'x,y,z'
loop_
_atom_site_label
_atom_site_type_symbol
_atom_site_fract_x
_atom_site_fract_y
_atom_site_fract_z
_atom_site_occupancy
Th1 Th 0.0647 0.4152 0.7594 1
Th2 Th 0.2123 0.2123 0.2097 1
Th3 Th 0.4152 0.0647 0.7594 1
Th4 Th 0.5848 0.9353 0.2406 1
Th5 Th 0.7877 0.7877 0.7903 1
Th6 Th 0.9353 0.5848 0.2406 1
Ir1 Ir 0.1757 0.8243 0.0000 1
Ir2 Ir 0.8243 0.1757 0.0000 1
Au1 Au 0.0000 0.0000 0.5000 1
Au2 Au 0.3576 0.6424 0.5000 1
Au3 Au 0.5000 0.5000 0.0000 1
Au4 Au 0.6424 0.3576 0.5000 1

(11)
# Th5Ir2Au2 (PBE, relaxed)
# * E_form: -58 kJ/mol of atoms
# * Fermi-level density of states: 9.2 states/eV/f.u.
data_Th5Ir2Au2
_chemical_formula_sum 'Th10 Ir4 Au4'
_cell_length_a 10.8771
_cell_length_b 10.8771
_cell_length_c 10.8771
_cell_angle_alpha 54.52
_cell_angle_beta 144.19
_cell_angle_gamma 140.31
_space_group_name_H-M_alt 'P 1'
_space_group_IT_number 1
loop_
_space_group_symop_operation_xyz
'x,y,z'
loop_
_atom_site_label
_atom_site_type_symbol
_atom_site_fract_x
_atom_site_fract_y
_atom_site_fract_z
_atom_site_occupancy
Th1 Th 0.1009 0.0227 0.5782 1
Th2 Th 0.1755 0.0755 0.2510 1
Th3 Th 0.1755 0.4245 0.5999 1
Th4 Th 0.4444 0.5227 0.4218 1
Th5 Th 0.4963 0.7999 0.0165 1
Th6 Th 0.4963 0.9798 0.1964 1
Th7 Th 0.7833 0.2999 0.8036 1
Th8 Th 0.7833 0.4798 0.9835 1
Th9 Th 0.8245 0.5755 0.4001 1
Th10 Th 0.8245 0.9245 0.7490 1
Ir1 Ir 0.0085 0.6993 0.8092 1
Ir2 Ir 0.7078 0.2078 0.5000 1
Ir3 Ir 0.7078 0.7078 0.0000 1
Ir4 Ir 0.8901 0.1993 0.1908 1
Au1 Au 0.2175 0.3915 0.9455 1
Au2 Au 0.2175 0.7720 0.3260 1
Au3 Au 0.4460 0.2720 0.0545 1
Au4 Au 0.4460 0.8915 0.6740 1

(12)
# Th2IrAu (PBE, relaxed)
# * E_form: -78 kJ/mol of atoms
# * Fermi-level density of states: 2.5 states/eV/f.u.
data_Th2IrAu
_chemical_formula_sum 'Th2 Ir1 Au1'
_cell_length_a 7.6210
_cell_length_b 7.6210
_cell_length_c 7.6210
_cell_angle_alpha 31.85
_cell_angle_beta 31.85
_cell_angle_gamma 31.85
_space_group_name_H-M_alt 'P 1'
_space_group_IT_number 1
loop_
_space_group_symop_operation_xyz
'x,y,z'
loop_
_atom_site_label
_atom_site_type_symbol
_atom_site_fract_x
_atom_site_fract_y
_atom_site_fract_z
_atom_site_occupancy
Th1 Th 0.0000 0.0000 0.0000 1
Th2 Th 0.1892 0.1892 0.1892 1
Ir1 Ir 0.5939 0.5939 0.5939 1
Au1 Au 0.4275 0.4275 0.4275 1